Entry 1:
Entry from Alexandria: Pm4RhPb2 after structural relaxation (PBE).

Summary:
ΔE_f: -549.6 meV/atom
volume: 209.4 Å³/f.u.
polymorph energy (0 for the lowest one): 0 meV/atom
energy: -37.62 eV/f.u.

Lattice parameters (Å, degrees): 11.7508 4.6925 8.9008 90.00 121.41 90.00
Space group C2/m (No. 12)
One atom of each set of equivalent atoms:
Pm1 0.0685 0.0000 0.3493 x4
Pm2 0.1683 0.5000 0.0589 x4
Rh1 0.0000 0.0000 0.0000 x2
Pb1 0.1511 0.5000 0.6612 x4

Entry 2:
Entry from Alexandria: Ac2BePd2O6 after structural relaxation (PBE).

Summary:
volume: 155.1 Å³/f.u.
energy: -69.81 eV/f.u.
ΔE_f (raw): -1612 meV per atom

Lattice parameters (Å, degrees): 5.8995 5.8995 15.4353 90.00 90.00 120.00
Space group R-3m (No. 166, hexagonal axes)
One atom of each set of equivalent atoms:
Ac1 0.0000 0.0000 0.2190 x6
Be1 0.0000 0.0000 0.0000 x3
Pd1 0.0000 0.0000 0.4089 x6
O1 0.0591 0.5295 0.7489 x18

Entry 3:
Entry from Alexandria: Nd8Y2Sc3 after structural relaxation (PBE).

Summary:
ΔE_f: 182.6 meV/atom
volume: 425.4 Å³/f.u.
energy: -67.69 eV/f.u.

Lattice parameters (Å, degrees): 13.3979 11.4709 5.9928 90.00 112.52 90.00
Space group C2/m (No. 12)
One atom of each set of equivalent atoms:
Nd1 0.0857 0.0000 0.2523 x4
Nd2 0.1364 0.5000 0.6160 x4
Nd3 0.1538 0.2654 0.1459 x8
Y1 0.1832 0.0000 0.8190 x4
Sc1 0.0000 0.2305 0.5000 x4
Sc2 0.0000 0.5000 0.0000 x2

Entry 4:
Entry from Alexandria: KBaP2 after structural relaxation (PBE).

Summary:
ΔE_f: -606.3 meV/atom
volume: 122.5 Å³/f.u.
polymorph energy (0 for the lowest one): 38 meV/atom
energy: -16.27 eV/f.u.

Lattice parameters (Å, degrees): 11.6422 4.1873 5.1320 90.00 101.72 90.00
Space group Cm (No. 8)
One atom of each set of equivalent atoms:
K1 0.0000 0.0000 0.0000 x2
Ba1 0.2663 0.0000 0.4350 x2
P1 0.0621 0.5000 0.5650 x2
P2 0.2140 0.5000 0.8838 x2

Entry 5:
Entry from Alexandria: Sr2MgTlIr after structural relaxation (PBE).

Summary:
ΔE_f: -133.1 meV/atom
volume: 171.2 Å³/f.u.
energy: -16.85 eV/f.u.

Lattice parameters (Å, degrees): 5.7944 5.7944 5.1001 90.00 90.00 90.00
Space group P4/mmm (No. 123)
One atom of each set of equivalent atoms:
Sr1 0.0000 0.5000 0.0000 x2
Mg1 0.0000 0.0000 0.5000 x1
Tl1 0.5000 0.5000 0.5000 x1
Ir1 0.0000 0.0000 0.0000 x1

Entry 6:
Entry from Alexandria: K2TaMo after structural relaxation (PBE).

Summary:
ΔE_f: 1364.0 meV/atom
volume: 94.9 Å³/f.u.
polymorph energy (0 for the lowest one): 589 meV/atom
energy: -19.42 eV/f.u.

Lattice parameters (Å, degrees): 5.4775 12.8959 2.9428 90.00 114.07 90.00
Space group C2/m (No. 12)
One atom of each set of equivalent atoms:
K1 0.2500 0.2500 0.0000 x4
Ta1 0.0000 0.0000 0.5000 x2
Mo1 0.0000 0.5000 0.5000 x2

Entry 7:
Entry from Alexandria: CsKTcPd2 after structural relaxation (PBE).

Summary:
ΔE_f: 1783.9 meV/atom
volume: 177.4 Å³/f.u.
energy: -13.78 eV/f.u.

Lattice parameters (Å, degrees): 5.4097 5.4097 6.0629 90.00 90.00 90.00
Space group P4/mmm (No. 123)
One atom of each set of equivalent atoms:
Cs1 0.0000 0.0000 0.0000 x1
K1 0.0000 0.0000 0.5000 x1
Tc1 0.5000 0.5000 0.5000 x1
Pd1 0.0000 0.5000 0.0000 x2

Entry 8:
Entry from Alexandria: Ce2PuZn after structural relaxation (PBE).

Summary:
ΔE_f: 254.0 meV/atom
volume: 91.5 Å³/f.u.
polymorph energy (0 for the lowest one): 322 meV/atom
energy: -26.46 eV/f.u.

Lattice parameters (Å, degrees): 3.7262 3.7262 22.8180 90.00 90.00 120.00
Space group R3m (No. 160, hexagonal axes)
One atom of each set of equivalent atoms:
Ce1 0.0000 0.0000 0.0000 x3
Ce2 0.0000 0.0000 0.1973 x3
Pu1 0.0000 0.0000 0.6054 x3
Zn1 0.0000 0.0000 0.7660 x3

Question: Which of these has the highest energy?
Answer: CsKTcPd2